# 1
# Li4GdAsO6

A geometry-optimized Li4GdAsO6 structure (PBE-GGA, OQMD via LeMat-Bulk).

- Electronic total energy: -6.00 eV/atom

Lattice parameters (Å, degrees): 5.4361 5.4361 5.0972 98.77 98.77 121.73
With the nearest neighbours (Å) after each atom.
Element x y z (fractional)
Li: 0.0000 0.0000 0.0000  2 O 2.00
Li: 0.3950 0.6050 0.0000  4 O 1.94-2.05
Li: 0.6614 0.3386 0.0000  4 O 1.99-2.04
Li: 0.8624 0.1376 0.5000  6 O 2.15-2.29
Gd: 0.1966 0.8034 0.5000  6 O 2.26-2.28
As: 0.5250 0.4750 0.5000  6 O 1.88-1.90
O: 0.1683 0.3963 0.2686  1 As 1.90, 2 Li 2.00-2.05
O: 0.2966 0.2556 0.7221  1 As 1.88, 2 Li 1.94-2.04
O: 0.4616 0.1289 0.2672  1 As 1.89, 1 Li 1.99
O: 0.6037 0.8317 0.7314  1 As 1.90, 2 Li 2.00-2.05
O: 0.7444 0.7034 0.2779  1 As 1.88, 2 Li 1.94-2.04
O: 0.8711 0.5384 0.7328  1 As 1.89, 1 Li 1.99

# 2
# GdLuAs

A geometry-optimized GdLuAs structure (PBE-GGA, OQMD via LeMat-Bulk).

- Electronic total energy: -5.31 eV/atom

Lattice parameters (Å, degrees): 6.7657 6.7657 6.7657 90.00 90.00 90.00
With the nearest neighbours (Å) after each atom.
Element x y z (fractional)
Gd: 0.0000 0.0000 0.0000  4 As 2.93
Gd: 0.0000 0.5000 0.5000  4 As 2.93
Gd: 0.5000 0.0000 0.5000  4 As 2.93
Gd: 0.5000 0.5000 0.0000  4 As 2.93
Lu: 0.0000 0.0000 0.5000  4 As 2.93
Lu: 0.0000 0.5000 0.0000  4 As 2.93
Lu: 0.5000 0.0000 0.0000  4 As 2.93
Lu: 0.5000 0.5000 0.5000  4 As 2.93
As: 0.2500 0.2500 0.2500  4 Gd 2.93, 4 Lu 2.93
As: 0.2500 0.7500 0.7500  4 Gd 2.93, 4 Lu 2.93
As: 0.7500 0.2500 0.7500  4 Gd 2.93, 4 Lu 2.93
As: 0.7500 0.7500 0.2500  4 Gd 2.93, 4 Lu 2.93